1.
## AsPdRu3 (PBE)

Data for AsPdRu3 after structural relaxation.

Cell lengths 4.748, 4.748, 4.748 Å; angles 90.00, 90.00, 90.00 degrees
Space group Pm-3m (No. 221)
Unique sites:
As: 0.000 0.000 0.000 (multiplicity 1)
Pd: 0.500 0.500 0.500 (multiplicity 1)
Ru: 0.000 0.500 0.500 (multiplicity 3)

Computed properties:
Total DFT energy (no corrections), eV per atom: -5.524
Offset from the most stable computed form, eV per atom: 0.936
Total magnetic moment, μB/f.u.: 5.9



2.
## Ho2Zn3Ag4 (PBE)

Data for Ho2Zn3Ag4 after structural relaxation.

Cell lengths 5.245, 9.225, 14.051 Å; angles 90.00, 90.00, 90.00 degrees
Space group Fmmm (No. 69)
Unique sites:
Ho: 0.000 0.000 0.130 (multiplicity 8)
Zn: 0.000 0.000 0.500 (multiplicity 4)
Zn: 0.250 0.250 0.000 (multiplicity 8)
Ag: 0.000 0.160 0.328 (multiplicity 16)

Computed properties:
Total DFT energy (no corrections), eV per atom: -3.016
Total magnetic moment, μB/f.u.: 0.0



3.
## CeTeBr (PBE)

Data for CeTeBr after structural relaxation.

Cell lengths 4.478, 6.278, 8.719 Å; angles 90.00, 90.00, 90.00 degrees
Space group Pmmn (No. 59, origin choice 2)
Unique sites:
Ce: 0.250 0.250 0.153 (multiplicity 2)
Te: 0.250 0.750 0.109 (multiplicity 2)
Br: 0.250 0.750 0.629 (multiplicity 2)

Computed properties:
Total DFT energy (no corrections), eV per atom: -5.117
ΔE_f (raw), meV/atom: -1534
Offset from the most stable computed form, eV per atom: 0.000
Total magnetic moment, μB/f.u.: 1.0



4.
## PRh4Br (PBE)

Data for PRh4Br after structural relaxation.

Cell lengths 7.380, 7.380, 7.380 Å; angles 90.00, 90.00, 90.00 degrees
Space group F-43m (No. 216)
Unique sites:
P: 0.000 0.000 0.000 (multiplicity 4)
Rh: 0.125 0.125 0.375 (multiplicity 16)
Br: 0.250 0.250 0.750 (multiplicity 4)

Computed properties:
Total DFT energy (no corrections), eV per atom: -5.254
ΔE_f (raw), meV/atom: 828
Total magnetic moment, μB/f.u.: 1.9



5.
## Nd3Y6Ho2Sc (PBE)

Data for Nd3Y6Ho2Sc after structural relaxation.

Cell lengths 6.187, 10.708, 11.791 Å; angles 90.00, 100.02, 90.00 degrees
Space group C2/m (No. 12)
Unique sites:
Nd: 0.000 0.000 0.000 (multiplicity 2)
Nd: 0.000 0.333 0.000 (multiplicity 4)
Y: 0.246 0.335 0.744 (multiplicity 8)
Y: 0.250 0.000 0.744 (multiplicity 4)
Ho: 0.000 0.167 0.500 (multiplicity 4)
Sc: 0.000 0.500 0.500 (multiplicity 2)

Computed properties:
Total DFT energy (no corrections), eV per atom: -5.683
Total magnetic moment, μB/f.u.: 0.0



6.
## La2PmDy6 (PBE)

Data for La2PmDy6 after structural relaxation.

Cell lengths 3.412, 10.153, 17.504 Å; angles 90.00, 90.00, 90.00 degrees
Space group Immm (No. 71)
Unique sites:
La: 0.000 0.000 0.167 (multiplicity 4)
Pm: 0.000 0.000 0.500 (multiplicity 2)
Dy: 0.000 0.186 0.334 (multiplicity 8)
Dy: 0.000 0.192 0.000 (multiplicity 4)

Computed properties:
Total DFT energy (no corrections), eV per atom: -4.495
Offset from the most stable computed form, eV per atom: 0.000
Total magnetic moment, μB/f.u.: 0.0



7.
## Pa3Tc3Sn (PBE)

Data for Pa3Tc3Sn after structural relaxation.

Cell lengths 8.5578, 8.5578, 15.2739 Å; angles 90.00, 90.00, 120.00 degrees
Space group R-3 (No. 148, hexagonal axes)
Unique sites:
Pa: 0.0208 0.2912 0.1052 (multiplicity 18)
Tc: 0.0094 0.3720 0.9304 (multiplicity 18)
Sn: 0.0000 0.0000 0.3320 (multiplicity 6)

Computed properties:
Total DFT energy (no corrections), eV per atom: -9.238
Total magnetic moment, μB/f.u.: 0.0



8.
## CoTeIr (PBE)

Data for CoTeIr after structural relaxation.

Cell lengths 6.088, 6.088, 6.088 Å; angles 90.00, 90.00, 90.00 degrees
Space group F-43m (No. 216)
Unique sites:
Co: 0.000 0.000 0.000 (multiplicity 4)
Te: 0.000 0.000 0.500 (multiplicity 4)
Ir: 0.250 0.250 0.250 (multiplicity 4)

Computed properties:
Total DFT energy (no corrections), eV per atom: -6.099
ΔE_f (raw), meV/atom: 270
Offset from the most stable computed form, eV per atom: 0.000
Total magnetic moment, μB/f.u.: 2.2



9.
## SrHg2W (PBE)

Data for SrHg2W after structural relaxation.

Cell lengths 3.806, 3.806, 6.976 Å; angles 90.00, 90.00, 90.00 degrees
Space group P4mm (No. 99)
Unique sites:
Sr: 0.000 0.000 0.000 (multiplicity 1)
Hg: 0.000 0.000 0.450 (multiplicity 1)
Hg: 0.500 0.500 0.719 (multiplicity 1)
W: 0.500 0.500 0.320 (multiplicity 1)

Computed properties:
Total DFT energy (no corrections), eV per atom: -3.103
Offset from the most stable computed form, eV per atom: 0.177
Total magnetic moment, μB/f.u.: 0.6



10.
## K3TmSb2S6 (PBE)

Data for K3TmSb2S6 after structural relaxation.

Cell lengths 7.033, 12.180, 7.717 Å; angles 90.00, 107.68, 90.00 degrees
Space group C2/m (No. 12)
Unique sites:
K: 0.000 0.000 0.000 (multiplicity 2)
K: 0.000 0.331 0.000 (multiplicity 4)
Tm: 0.000 0.500 0.500 (multiplicity 2)
Sb: 0.000 0.166 0.500 (multiplicity 4)
S: 0.231 0.336 0.702 (multiplicity 8)
S: 0.240 0.000 0.703 (multiplicity 4)

Computed properties:
Total DFT energy (no corrections), eV per atom: -4.491
ΔE_f (raw), meV/atom: -1093
Total magnetic moment, μB/f.u.: 0.0



11.
## Dy6MgPt (PBE)

Data for Dy6MgPt after structural relaxation.

Cell lengths 7.069, 7.076, 7.227 Å; angles 90.16, 119.13, 119.88 degrees
Space group P-1 (No. 2)
Unique sites:
Dy: 0.038 0.069 0.255 (multiplicity 2)
Dy: 0.285 0.717 0.254 (multiplicity 2)
Dy: 0.312 0.530 0.745 (multiplicity 2)
Mg: 0.500 0.000 0.000 (multiplicity 1)
Pt: 0.500 0.500 0.500 (multiplicity 1)

Computed properties:
Total DFT energy (no corrections), eV per atom: -4.447
Total magnetic moment, μB/f.u.: 0.0



12.
## GdTm2Sc (PBE)

Data for GdTm2Sc after structural relaxation.

Cell lengths 7.787, 7.787, 7.787 Å; angles 90.00, 90.00, 90.00 degrees
Space group Fm-3m (No. 225)
Unique sites:
Gd: 0.000 0.000 0.000 (multiplicity 4)
Tm: 0.250 0.250 0.250 (multiplicity 8)
Sc: 0.000 0.000 0.500 (multiplicity 4)

Computed properties:
Total DFT energy (no corrections), eV per atom: -7.207
Offset from the most stable computed form, eV per atom: 0.088
Total magnetic moment, μB/f.u.: 8.6



13.
## YMnSN2 (PBE)

Data for YMnSN2 after structural relaxation.

Cell lengths 4.356, 4.356, 5.480 Å; angles 90.00, 90.00, 90.00 degrees
Space group P4/mmm (No. 123)
Unique sites:
Y: 0.000 0.000 0.000 (multiplicity 1)
Mn: 0.500 0.500 0.500 (multiplicity 1)
S: 0.000 0.000 0.500 (multiplicity 1)
N: 0.000 0.500 0.000 (multiplicity 2)

Computed properties:
Total DFT energy (no corrections), eV per atom: -6.477
ΔE_f (raw), meV/atom: 805
Offset from the most stable computed form, eV per atom: 1.208
Total magnetic moment, μB/f.u.: 8.0



14.
## RbNaCo2Cl8 (PBE)

Data for RbNaCo2Cl8 after structural relaxation.

Cell lengths 6.5790, 6.5790, 28.3937 Å; angles 90.00, 90.00, 120.00 degrees
Space group R-3 (No. 148, hexagonal axes)
Unique sites:
Rb: 0.0000 0.0000 0.0000 (multiplicity 3)
Na: 0.0000 0.0000 0.5000 (multiplicity 3)
Co: 0.0000 0.0000 0.2508 (multiplicity 6)
Cl: 0.0000 0.0000 0.3275 (multiplicity 6)
Cl: 0.0098 0.6501 0.4396 (multiplicity 18)

Computed properties:
Total DFT energy (no corrections), eV per atom: -3.593
ΔE_f (raw), meV/atom: -987
Total magnetic moment, μB/f.u.: 8.0



15.
## KFeSe2 (PBE)

Data for KFeSe2 after structural relaxation.

Cell lengths 3.216, 3.216, 9.463 Å; angles 90.00, 90.00, 90.00 degrees
Space group P4mm (No. 99)
Unique sites:
K: 0.000 0.000 0.000 (multiplicity 1)
Fe: 0.500 0.500 0.697 (multiplicity 1)
Se: 0.000 0.000 0.621 (multiplicity 1)
Se: 0.500 0.500 0.248 (multiplicity 1)

Computed properties:
Total DFT energy (no corrections), eV per atom: -4.098
ΔE_f (raw), meV/atom: 35
Total magnetic moment, μB/f.u.: 1.9



16.
## PaCoCuSn (PBE)

Data for PaCoCuSn after structural relaxation.

Cell lengths 6.584, 6.584, 6.584 Å; angles 90.00, 90.00, 90.00 degrees
Space group F-43m (No. 216)
Unique sites:
Pa: 0.000 0.000 0.000 (multiplicity 4)
Co: 0.250 0.250 0.750 (multiplicity 4)
Cu: 0.250 0.250 0.250 (multiplicity 4)
Sn: 0.000 0.000 0.500 (multiplicity 4)

Computed properties:
Total DFT energy (no corrections), eV per atom: -6.368
Total magnetic moment, μB/f.u.: 0.0



17.
## Li3Pu3HfSe8 (PBE)

Data for Li3Pu3HfSe8 after structural relaxation.

Cell lengths 13.724, 8.190, 7.967 Å; angles 90.00, 123.42, 90.00 degrees
Space group C2/m (No. 12)
Unique sites:
Li: 0.000 0.000 0.000 (multiplicity 2)
Li: 0.250 0.250 0.500 (multiplicity 4)
Pu: 0.000 0.500 0.500 (multiplicity 2)
Pu: 0.250 0.250 0.000 (multiplicity 4)
Hf: 0.000 0.000 0.500 (multiplicity 2)
Se: 0.004 0.233 0.263 (multiplicity 8)
Se: 0.237 0.000 0.732 (multiplicity 4)
Se: 0.247 0.000 0.251 (multiplicity 4)

Computed properties:
Total DFT energy (no corrections), eV per atom: -7.134
ΔE_f (raw), meV/atom: -1363
Total magnetic moment, μB/f.u.: 5.0



18.
## Ca3AgPt2 (PBE)

Data for Ca3AgPt2 after structural relaxation.

Cell lengths 5.043, 15.096, 3.553 Å; angles 90.00, 90.00, 90.00 degrees
Space group Cmmm (No. 65)
Unique sites:
Ca: 0.000 0.000 0.000 (multiplicity 2)
Ca: 0.000 0.324 0.000 (multiplicity 4)
Ag: 0.000 0.500 0.500 (multiplicity 2)
Pt: 0.000 0.160 0.500 (multiplicity 4)

Computed properties:
Total DFT energy (no corrections), eV per atom: -4.208
Offset from the most stable computed form, eV per atom: 0.005
Total magnetic moment, μB/f.u.: 0.0



19.
## SmEuSb (PBE)

Data for SmEuSb after structural relaxation.

Cell lengths 5.1402, 5.1402, 4.3721 Å; angles 90.00, 90.00, 120.00 degrees
Space group P3m1 (No. 156)
Unique sites:
Sm: 0.0000 0.0000 0.0000 (multiplicity 1)
Eu: 0.6667 0.3333 0.5367 (multiplicity 1)
Sb: 0.3333 0.6667 0.1798 (multiplicity 1)

Computed properties:
Total DFT energy (no corrections), eV per atom: -6.888
ΔE_f (raw), meV/atom: -516
Total magnetic moment, μB/f.u.: 7.4



20.
## CsNiOs (PBE)

Data for CsNiOs after structural relaxation.

Cell lengths 13.671, 4.252, 5.219 Å; angles 90.00, 111.78, 90.00 degrees
Space group C2/m (No. 12)
Unique sites:
Cs: 0.000 0.000 0.000 (multiplicity 2)
Cs: 0.000 0.500 0.500 (multiplicity 2)
Ni: 0.250 0.000 0.106 (multiplicity 4)
Os: 0.250 0.000 0.627 (multiplicity 4)

Computed properties:
Total DFT energy (no corrections), eV per atom: -5.257
Offset from the most stable computed form, eV per atom: 0.237
Total magnetic moment, μB/f.u.: 0.0



21.
## LiAcNdTe3 (PBE)

Data for LiAcNdTe3 after structural relaxation.

Cell lengths 9.376, 4.447, 9.814 Å; angles 90.00, 103.91, 90.00 degrees
Space group P2_1/m (No. 11)
Unique sites:
Li: 0.087 0.250 0.089 (multiplicity 2)
Ac: 0.186 0.250 0.732 (multiplicity 2)
Nd: 0.337 0.750 0.346 (multiplicity 2)
Te: 0.096 0.250 0.373 (multiplicity 2)
Te: 0.219 0.750 0.006 (multiplicity 2)
Te: 0.433 0.750 0.682 (multiplicity 2)

Computed properties:
Total DFT energy (no corrections), eV per atom: -4.742
ΔE_f (raw), meV/atom: -1373
Total magnetic moment, μB/f.u.: 0.0



22.
## TlGa3Bi (PBE)

Data for TlGa3Bi after structural relaxation.

Cell lengths 5.341, 5.341, 5.341 Å; angles 90.00, 90.00, 90.00 degrees
Space group Pm-3m (No. 221)
Unique sites:
Tl: 0.000 0.000 0.000 (multiplicity 1)
Ga: 0.000 0.000 0.500 (multiplicity 3)
Bi: 0.500 0.500 0.500 (multiplicity 1)

Computed properties:
Total DFT energy (no corrections), eV per atom: -2.538
Offset from the most stable computed form, eV per atom: 0.443
Total magnetic moment, μB/f.u.: 0.0



23.
## DyThInTc (PBE)

Data for DyThInTc after structural relaxation.

Cell lengths 7.325, 7.325, 7.325 Å; angles 90.00, 90.00, 90.00 degrees
Space group F-43m (No. 216)
Unique sites:
Dy: 0.000 0.000 0.000 (multiplicity 4)
Th: 0.000 0.000 0.500 (multiplicity 4)
In: 0.250 0.250 0.250 (multiplicity 4)
Tc: 0.250 0.250 0.750 (multiplicity 4)

Computed properties:
Total DFT energy (no corrections), eV per atom: -6.375
Total magnetic moment, μB/f.u.: 0.0



24.
## K2ScPdO4 (PBE)

Data for K2ScPdO4 after structural relaxation.

Cell lengths 5.829, 3.193, 6.485 Å; angles 90.00, 109.86, 90.00 degrees
Space group P2/m (No. 10)
Unique sites:
K: 0.000 0.000 0.000 (multiplicity 1)
K: 0.500 0.500 0.000 (multiplicity 1)
Sc: 0.000 0.500 0.500 (multiplicity 1)
Pd: 0.500 0.000 0.500 (multiplicity 1)
O: 0.199 0.000 0.697 (multiplicity 2)
O: 0.279 0.500 0.333 (multiplicity 2)

Computed properties:
Total DFT energy (no corrections), eV per atom: -5.923
ΔE_f (raw), meV/atom: -1729
Total magnetic moment, μB/f.u.: 1.0



25.
## AcMg4Ag (PBE)

Data for AcMg4Ag after structural relaxation.

Cell lengths 8.582, 8.582, 8.582 Å; angles 90.00, 90.00, 90.00 degrees
Space group F-43m (No. 216)
Unique sites:
Ac: 0.000 0.000 0.000 (multiplicity 4)
Mg: 0.124 0.124 0.624 (multiplicity 16)
Ag: 0.250 0.250 0.250 (multiplicity 4)

Computed properties:
Total DFT energy (no corrections), eV per atom: -2.176
Offset from the most stable computed form, eV per atom: 0.207
Total magnetic moment, μB/f.u.: 0.0